1.
Crystalline LaSc4Al at its relaxed geometry, computed with PBE.

Cell and atoms, written as POSCAR:
```
LaSc4Al
1.0
0.000 4.276 4.276
4.276 0.000 4.276
4.276 4.276 0.000
La Sc Al
1 4 1
Cartesian
0.000 0.000 0.000
3.212 5.341 5.341
5.341 5.341 3.212
5.341 3.212 5.341
3.212 3.212 3.212
6.415 6.415 6.415
```

energy of formation: 0.204 eV/atom
space-group type: No. 216
volume: 156.4 Å³/cell
uncorrected energy: -5.46 eV per atom
mass density: 3670 kg/m3
crystal system: cubic



2.
Crystalline TmMg2Hg2 at its relaxed geometry, computed with PBE.

Cell and atoms, written as POSCAR:
```
TmMg2Hg2
1.0
-2.958 -1.649 -0.964
0.936 -3.625 3.328
-6.691 6.661 9.133
Tm Mg Hg
2 4 4
Cartesian
-1.747 -1.427 4.585
-6.966 2.813 6.912
-5.813 2.616 10.144
-2.900 -1.230 1.354
-4.023 2.183 5.394
-4.689 -0.797 6.104
-4.403 1.213 8.218
-4.310 0.173 3.280
-6.854 4.999 9.260
-1.859 -3.612 2.237
```

energy of formation: -0.273 eV/atom
space-group type: No. 11
volume: 231.7 Å³/cell
uncorrected energy: -1.93 eV per atom
mass density: 8867 kg/m3
crystal system: monoclinic



3.
Crystalline Th4Sn2Hg5 at its relaxed geometry, computed with PBE.

Cell and atoms, written as POSCAR:
```
Th4Sn2Hg5
1.0
-3.413 0.843 0.548
-1.291 -7.480 3.469
2.586 4.784 8.746
Th Sn Hg
4 2 5
Cartesian
-1.184 -2.299 7.714
0.364 3.327 8.701
-0.934 0.447 5.048
-2.482 -5.179 4.062
1.559 2.534 5.810
-0.264 -5.229 6.404
0.070 -2.668 4.544
0.181 -0.561 1.993
-0.646 -3.740 1.734
1.113 -2.135 10.221
1.225 -0.027 7.671
```

energy of formation: -0.235 eV/atom
space-group type: No. 10
volume: 304.2 Å³/cell
uncorrected energy: -3.80 eV per atom
mass density: 11837 kg/m3
crystal system: monoclinic



4.
Crystalline Ca2ScAgAu6 at its relaxed geometry, computed with PBE.

Cell and atoms, written as POSCAR:
```
Ca2ScAgAu6
1.0
7.305 0.000 0.000
0.000 7.305 0.000
3.653 3.652 5.166
Ca Sc Ag Au
2 1 1 6
Cartesian
3.653 7.305 2.583
7.306 3.652 2.583
3.653 3.652 0.000
0.000 0.000 0.000
1.838 5.467 0.000
9.121 9.120 5.166
3.653 3.652 2.567
5.468 1.837 0.000
1.838 1.838 0.000
7.306 7.305 2.599
```

energy of formation: -0.105 eV/atom
space-group type: No. 225
volume: 275.7 Å³/cell
uncorrected energy: -3.39 eV per atom
mass density: 8522 kg/m3
crystal system: cubic



5.
Crystalline Na2SrLiTi at its relaxed geometry, computed with PBE.

Cell and atoms, written as POSCAR:
```
Na2SrLiTi
1.0
5.833 0.000 0.000
0.000 5.400 0.000
0.000 0.000 5.833
Sr Li Na Ti
1 1 2 1
Cartesian
2.916 2.700 2.916
0.000 2.700 0.000
0.000 0.000 2.916
2.916 0.000 0.000
0.000 0.000 0.000
```

energy of formation: 0.763 eV/atom
space-group type: No. 123
volume: 183.7 Å³/cell
uncorrected energy: -2.06 eV per atom
mass density: 1703 kg/m3
crystal system: tetragonal



6.
Crystalline Dy3BiAs2 at its relaxed geometry, computed with PBE.

Cell and atoms, written as POSCAR:
```
Dy3BiAs2
1.0
5.129 0.000 0.000
-2.564 6.219 0.000
0.000 0.000 10.014
Dy Bi As
6 2 4
Cartesian
2.564 1.587 0.451
0.000 1.251 7.511
2.564 1.587 4.556
2.564 4.968 2.504
0.000 4.631 9.564
0.000 4.632 5.458
0.000 2.677 2.504
2.564 3.542 7.511
0.000 0.000 0.000
0.000 0.000 5.007
0.000 5.834 2.504
2.564 0.384 7.511
```

energy of formation: -0.895 eV/atom
space-group type: No. 63
volume: 319.4 Å³/cell
uncorrected energy: -5.39 eV per atom
mass density: 8800 kg/m3
crystal system: orthorhombic



7.
Crystalline IrSeBr2 at its relaxed geometry, computed with PBE.

Cell and atoms, written as POSCAR:
```
IrSeBr2
1.0
3.664 0.000 0.000
0.000 7.218 0.486
0.000 5.226 5.012
Br Ir Se
2 1 1
Cartesian
0.000 1.531 0.677
0.000 4.691 2.072
1.832 3.111 1.375
1.832 9.333 4.124
```

space-group type: No. 10
volume: 123.3 Å³/cell
uncorrected energy: -3.87 eV per atom
mass density: 5807 kg/m3
ΔE_f (raw): 0.052 eV/atom
crystal system: monoclinic



8.
Crystalline Cd2Pt9W at its relaxed geometry, computed with PBE.

Cell and atoms, written as POSCAR:
```
Cd2Pt9W
1.0
-0.983 2.917 2.573
-1.426 -2.740 2.561
10.885 -0.863 5.138
Cd Pt W
2 9 1
Cartesian
3.622 -0.287 1.710
7.263 -0.576 3.428
-1.205 0.088 2.567
2.379 -0.196 4.259
6.096 -0.490 6.013
1.207 1.324 2.089
4.951 1.027 3.856
8.694 0.730 5.623
0.986 -1.505 2.082
4.729 -1.801 3.849
8.473 -2.098 5.616
0.000 0.000 0.000
```

energy of formation: -0.260 eV/atom
space-group type: No. 123
volume: 194.2 Å³/cell
uncorrected energy: -6.02 eV per atom
mass density: 18504 kg/m3
crystal system: tetragonal



9.
Crystalline Pm4Er2Sn3O2 at its relaxed geometry, computed with PBE.

Cell and atoms, written as POSCAR:
```
Pm4Er2Sn3O2
1.0
-0.317 0.693 4.706
-2.818 -3.827 0.373
11.703 -5.725 -0.782
Pm Er Sn O
4 2 3 2
Cartesian
7.020 -7.978 1.648
8.270 -5.718 3.814
0.297 -3.141 0.482
1.547 -0.881 2.649
6.198 -4.460 1.075
2.369 -4.400 3.222
0.000 0.000 0.000
3.662 -2.634 0.635
4.906 -6.225 3.662
7.986 -5.746 1.385
0.582 -3.114 2.912
```

space-group type: No. 139
volume: 286.6 Å³/cell
uncorrected energy: -6.02 eV per atom
mass density: 7549 kg/m3
ΔE_f (raw): -1.466 eV/atom
crystal system: tetragonal



10.
Crystalline CdFeMo2 at its relaxed geometry, computed with PBE.

Cell and atoms, written as POSCAR:
```
CdFeMo2
1.0
5.387 -0.057 -0.194
-2.313 4.771 0.026
0.762 0.720 2.443
Cd Fe Mo
1 1 2
Cartesian
-0.776 2.746 1.234
1.537 2.357 -0.084
0.000 0.000 0.000
3.075 0.332 1.124
```

energy of formation: 0.430 eV/atom
space-group type: No. 12
volume: 63.4 Å³/cell
uncorrected energy: -7.33 eV per atom
mass density: 9434 kg/m3
crystal system: monoclinic



11.
Crystalline Pr3Sm at its relaxed geometry, computed with PBE.

Cell and atoms, written as POSCAR:
```
Pr3Sm
1.0
-2.949 -2.170 -0.598
1.526 -3.377 4.729
-3.549 3.767 3.834
Pr Sm
3 1
Cartesian
-0.414 -0.439 3.636
-3.253 0.803 1.623
-3.664 0.361 5.256
-0.006 0.007 0.007
```

energy of formation: 0.032 eV/atom
space-group type: No. 25
volume: 143.5 Å³/cell
uncorrected energy: -4.73 eV per atom
mass density: 6631 kg/m3
crystal system: orthorhombic



12.
Crystalline LiCe2YTe4 at its relaxed geometry, computed with PBE.

Cell and atoms, written as POSCAR:
```
LiCe2YTe4
1.0
4.406 0.000 0.000
0.000 7.647 -0.152
0.000 2.690 7.191
Li Ce Y Te
1 2 1 4
Cartesian
2.203 3.823 -0.076
0.000 2.690 7.191
2.203 1.345 3.595
0.000 5.168 3.519
0.000 7.646 5.355
4.406 2.691 1.684
2.203 6.292 1.677
2.203 4.044 5.361
```

space-group type: No. 10
volume: 244.1 Å³/cell
uncorrected energy: -5.41 eV per atom
mass density: 6031 kg/m3
ΔE_f (raw): -1.305 eV/atom
crystal system: monoclinic



13.
Crystalline MgTlB2Pd at its relaxed geometry, computed with PBE.

Cell and atoms, written as POSCAR:
```
MgTlB2Pd
1.0
4.156 0.000 0.000
0.000 5.238 0.000
0.000 0.000 4.156
Tl B Mg Pd
1 2 1 1
Cartesian
2.078 2.619 2.078
0.000 0.000 2.078
2.078 0.000 0.000
0.000 2.619 0.000
0.000 0.000 0.000
```

energy of formation: 0.706 eV/atom
space-group type: No. 123
volume: 90.5 Å³/cell
uncorrected energy: -3.80 eV per atom
mass density: 6547 kg/m3
crystal system: tetragonal



14.
Crystalline Pa3TlC4N12 at its relaxed geometry, computed with PBE.

Cell and atoms, written as POSCAR:
```
Pa3TlC4N12
1.0
-2.868 -1.967 5.539
0.851 -5.650 -3.182
6.071 1.365 2.012
Pa Tl C N
3 1 4 12
Cartesian
-1.119 -3.699 1.437
1.867 -0.202 3.671
3.306 -2.350 -0.739
0.000 0.000 0.000
0.272 -1.387 6.303
6.248 -1.552 0.519
-0.438 -6.439 -0.268
2.027 -3.126 2.185
2.724 -2.190 2.878
-1.497 -4.440 3.575
3.493 -4.578 -1.254
4.086 -0.360 4.232
0.779 -6.024 -0.679
5.761 -1.128 1.704
-0.368 -2.363 5.625
-0.936 -5.887 0.858
5.505 -2.435 -0.180
1.423 -0.918 5.779
0.835 -3.570 2.655
2.523 -3.617 1.021
```

space-group type: No. 155
volume: 258.0 Å³/cell
uncorrected energy: -8.69 eV per atom
mass density: 7168 kg/m3
ΔE_f (raw): -0.312 eV/atom
crystal system: trigonal



15.
Crystalline Mg3AgHg6 at its relaxed geometry, computed with PBE.

Cell and atoms, written as POSCAR:
```
Mg3AgHg6
1.0
-5.909 5.577 -0.738
-4.419 -0.924 4.009
-0.219 3.633 4.818
Mg Ag Hg
3 1 6
Cartesian
-2.406 2.046 0.967
-8.142 6.240 7.122
0.000 0.000 0.000
-5.274 4.143 4.044
-2.529 3.915 3.247
-5.902 6.668 5.249
-8.018 4.371 4.842
-4.646 1.618 2.839
-3.695 2.351 5.943
-6.853 5.935 2.145
```

energy of formation: -0.030 eV/atom
space-group type: No. 12
volume: 238.2 Å³/cell
uncorrected energy: -0.98 eV per atom
mass density: 9651 kg/m3
crystal system: monoclinic



16.
Crystalline Cs2TlZn2O4 at its relaxed geometry, computed with PBE.

Cell and atoms, written as POSCAR:
```
Cs2TlZn2O4
1.0
-1.902 -2.107 -2.237
5.389 -4.915 2.968
-5.032 -0.216 4.483
Cs Tl Zn O
2 1 2 4
Cartesian
0.026 -5.530 2.268
-1.571 -1.709 2.946
0.000 0.000 0.000
-2.138 -4.032 5.617
0.593 -3.207 -0.403
-2.719 -4.592 3.719
1.174 -2.647 1.495
3.075 -5.332 2.408
-4.620 -1.907 2.806
```

space-group type: No. 12
volume: 181.0 Å³/cell
uncorrected energy: -4.04 eV per atom
mass density: 6101 kg/m3
ΔE_f (raw): -1.101 eV/atom
crystal system: monoclinic



17.
Crystalline V4FeCo at its relaxed geometry, computed with PBE.

Cell and atoms, written as POSCAR:
```
V4FeCo
1.0
3.636 0.006 0.003
-0.007 4.210 0.396
-0.005 0.586 5.541
V Fe Co
4 1 1
Cartesian
1.814 4.301 1.708
1.819 0.476 4.207
-0.003 2.448 4.317
0.000 2.323 1.597
1.814 2.682 5.729
-0.005 4.490 3.154
```

energy of formation: 0.313 eV/atom
space-group type: No. 10
volume: 84.0 Å³/cell
uncorrected energy: -8.36 eV per atom
mass density: 6299 kg/m3
crystal system: monoclinic



18.
Crystalline LaSm6Dy2Tm3 at its relaxed geometry, computed with PBE.

Cell and atoms, written as POSCAR:
```
LaSm6Dy2Tm3
1.0
6.226 -0.001 0.018
-3.112 5.392 0.018
-1.072 -1.856 11.668
La Sm Dy Tm
1 6 2 3
Cartesian
0.000 0.000 0.000
3.090 1.744 8.732
2.065 3.576 2.994
-1.048 1.791 2.972
-0.033 3.548 8.732
-0.023 -0.040 8.711
2.075 -0.013 2.972
0.002 3.594 0.018
3.112 1.797 0.018
-2.087 3.563 5.852
4.129 -0.028 5.852
1.021 1.768 5.852
```

energy of formation: 0.022 eV/atom
space-group type: No. 12
volume: 392.1 Å³/cell
uncorrected energy: -4.63 eV per atom
mass density: 7932 kg/m3
crystal system: monoclinic



19.
Crystalline SmBO3 at its relaxed geometry, computed with PBE.

Cell and atoms, written as POSCAR:
```
SmBO3
1.0
4.933 0.065 -0.377
-2.441 4.287 -0.378
0.067 0.119 4.937
Sm B O
2 2 6
Cartesian
1.489 3.600 3.652
1.304 0.738 1.560
-0.808 2.057 4.522
3.628 2.329 1.676
3.298 1.493 2.954
3.504 1.296 0.486
-0.989 3.464 4.493
0.567 1.591 4.386
2.530 3.278 1.540
0.000 2.820 2.024
```

space-group type: No. 9
volume: 105.6 Å³/cell
uncorrected energy: -8.17 eV per atom
mass density: 6575 kg/m3
ΔE_f (raw): -2.911 eV/atom
crystal system: monoclinic



20.
Crystalline NdAl3CuPt at its relaxed geometry, computed with PBE.

Cell and atoms, written as POSCAR:
```
NdAl3CuPt
1.0
6.033 0.000 0.000
0.000 6.401 0.000
0.000 -3.200 5.939
Nd Al Cu Pt
2 6 2 2
Cartesian
4.525 0.000 3.281
1.508 3.200 2.658
1.508 0.000 1.882
0.000 1.852 0.000
3.017 4.549 0.000
3.017 1.852 0.000
0.000 4.549 0.000
4.525 3.200 4.056
1.508 3.200 5.414
4.525 0.000 0.524
1.508 0.000 4.365
4.525 3.200 1.574
```

energy of formation: -0.503 eV/atom
space-group type: No. 63
volume: 229.3 Å³/cell
uncorrected energy: -4.86 eV per atom
mass density: 7006 kg/m3
crystal system: orthorhombic